The following is a DFT calculation (PBE) of a relaxed CaRe2Mo crystal.

Unit cell a=2.8793 b=2.8793 c=28.7949 alpha=90.00 beta=90.00 gamma=120.00
Closest atoms and distances in Å follow each position.
Sites, in units of the cell vectors:
1 Ca 0.0000 0.0000 0.0000  6 Ca 2.88, 6 Re 3.11
2 Ca 0.3333 0.6667 0.6667  6 Ca 2.88, 6 Re 3.11
3 Ca 0.6667 0.3333 0.3333  6 Ca 2.88, 6 Re 3.11
4 Re 0.0000 0.0000 0.2422  3 Mo 2.74, 6 Re 2.88
5 Re 0.0000 0.0000 0.7578  3 Mo 2.74, 6 Re 2.88
6 Re 0.3333 0.6667 0.4245  3 Mo 2.74, 6 Re 2.88
7 Re 0.3333 0.6667 0.9089  3 Mo 2.74, 6 Re 2.88
8 Re 0.6667 0.3333 0.0911  3 Mo 2.74, 6 Re 2.88
9 Re 0.6667 0.3333 0.5755  3 Mo 2.74, 6 Re 2.88
10 Mo 0.0000 0.0000 0.5000  6 Re 2.74, 6 Mo 2.88
11 Mo 0.3333 0.6667 0.1667  6 Re 2.74, 6 Mo 2.88
12 Mo 0.6667 0.3333 0.8333  6 Re 2.74, 6 Mo 2.88

Calculated values
energy above the lowest structure with this stoichiometry: 120 meV per atom
calculated volume: 207 Å³ per cell
space-group type: No. 166
D(E_F): 14.07 states/eV/cell
total magnetization: 0.0 Bohr magnetons per cell
energy of formation: 0.585 eV/atom